HoMg11Ag | PBE | relaxed

The structure in POSCAR format:
```
HoMg11Ag
1.0
2.8874 -7.1866 0.0000
2.8874 7.1866 0.0000
-2.7616 0.0000 7.1739
Ho Mg Ag
1 11 1
direct
0.0000 0.0000 0.0000
0.0000 0.0000 0.5000
0.0000 0.5000 0.0000
0.0090 0.3540 0.3546
0.2972 0.5044 0.7864
0.3540 0.0090 0.3546
0.4956 0.7028 0.2136
0.5000 0.0000 0.0000
0.5044 0.2972 0.7864
0.6460 0.9910 0.6454
0.7028 0.4956 0.2136
0.9910 0.6460 0.6454
0.5000 0.5000 0.5000
```

Output
Its space group is No. 12. The density of states at the Fermi level comes out at 7.059 states/eV/cell. As for the total magnetization: 0.000 μB/atom. The value obtained for the energy of formation from the pure elements is -5.02 kJ per mole of atoms.